Below is FeHg2Se after structural relaxation, with properties calculated at the PBE-GGA level.

- M_tot: 2.3 Bohr magnetons per cell
- N(E_F): 2.68 states/eV/f.u.
- Calculated density: 9.9 g/cm3
- E_form (uncorrected): 0.13 eV/atom
- Calculated total energy: -3.0074 eV/atom

Cell: 3.0919 4.5305 6.8379 Å, 70.50 90.00 90.00°
Fractional positions:
Fe 0.5000 0.5306 0.8142
Hg 0.0000 0.9838 0.9072
Hg 0.5000 0.3182 0.2369
Se 0.0000 0.6675 0.5417

=====

Below is Fe2HgSe2 after structural relaxation, with properties calculated at the PBE-GGA level.

- M_tot: 0.0 Bohr magnetons per cell
- N(E_F): 7.93 states/eV/f.u.
- Calculated density: 9.6 g/cm3
- E_form (uncorrected): 0.36 eV/atom
- Energy above the most stable polymorph in this dataset: 0.570 eV/atom
- Calculated total energy: -4.4766 eV/atom

Cell: 7.3379 7.3379 3.0321 Å, 90.00 90.00 90.00°
Fractional positions:
Hg 0.0000 0.0000 0.0000
Hg 0.5000 0.5000 0.0000
Se 0.1394 0.6394 0.5000
Se 0.6394 0.8606 0.5000
Se 0.8606 0.3606 0.5000
Se 0.3606 0.1394 0.5000
Fe 0.3748 0.8748 0.0000
Fe 0.8748 0.6252 0.0000
Fe 0.6252 0.1252 0.0000
Fe 0.1252 0.3748 0.0000

=====

- Which of these has the highest M_tot?
  FeHg2Se